(1)
Compound: AgN
Source: the Alexandria database
Functional: PBE
Structure: relaxed

E_form (uncorrected) in eV/atom: 1.74
Total DFT energy (no corrections) in eV per atom: -3.85
Space group: P6_3mc
Energy above the most stable polymorph in this dataset in meV per atom: 1482

a b c (Å): 3.377 3.377 6.073
angles (deg): 90.00 90.00 120.00
Atoms (fractional coordinates):
1 Ag 0.333 0.667 0.000
2 Ag 0.667 0.333 0.500
3 N 0.333 0.667 0.649
4 N 0.667 0.333 0.149

***

(2)
Compound: Ac2MgCd3Ga4
Source: the Alexandria database
Functional: PBE
Structure: relaxed

Total DFT energy (no corrections) in eV per atom: -2.86
Calculated formation energy in eV per atom: -0.39
Space group: P-4m2

a b c (Å): 4.626 4.626 11.420
angles (deg): 90.00 90.00 90.00
Atoms (fractional coordinates):
1 Ac 0.000 0.500 0.244
2 Ac 0.500 0.000 0.756
3 Mg 0.000 0.000 0.500
4 Cd 0.000 0.500 0.870
5 Cd 0.500 0.000 0.130
6 Cd 0.500 0.500 0.500
7 Ga 0.000 0.000 0.000
8 Ga 0.000 0.500 0.638
9 Ga 0.500 0.000 0.362
10 Ga 0.500 0.500 0.000

***

(3)
Compound: Mg2Ga2Re
Source: the Alexandria database
Functional: PBE
Structure: relaxed

Total DFT energy (no corrections) in eV per atom: -3.79
Calculated formation energy in eV per atom: 0.54
Space group: P4/mbm
Energy above the most stable polymorph in this dataset in meV per atom: 366

a b c (Å): 7.018 7.018 3.483
angles (deg): 90.00 90.00 90.00
Atoms (fractional coordinates):
1 Mg 0.141 0.359 0.000
2 Mg 0.359 0.859 0.000
3 Mg 0.641 0.141 0.000
4 Mg 0.859 0.641 0.000
5 Ga 0.163 0.663 0.500
6 Ga 0.337 0.163 0.500
7 Ga 0.663 0.837 0.500
8 Ga 0.837 0.337 0.500
9 Re 0.000 0.000 0.000
10 Re 0.500 0.500 0.000

***

(4)
Compound: Pm6B2SCl3
Source: the Alexandria database
Functional: PBE
Structure: relaxed

E_form (uncorrected) in eV/atom: -1.23
Total DFT energy (no corrections) in eV per atom: -5.52
Space group: C2/m

a b c (Å): 6.874 6.874 7.346
angles (deg): 98.98 98.98 120.00
Atoms (fractional coordinates):
1 Pm 0.081 0.431 0.795
2 Pm 0.217 0.217 0.205
3 Pm 0.431 0.081 0.795
4 Pm 0.569 0.919 0.205
5 Pm 0.783 0.783 0.795
6 Pm 0.919 0.569 0.205
7 B 0.167 0.833 0.000
8 B 0.833 0.167 0.000
9 S 0.500 0.500 0.000
10 Cl 0.000 0.000 0.500
11 Cl 0.333 0.667 0.500
12 Cl 0.667 0.333 0.500

***

(5)
Compound: Al3PbO
Source: the Alexandria database
Functional: PBE
Structure: relaxed

E_form (uncorrected) in eV/atom: 1.29
Total DFT energy (no corrections) in eV per atom: -2.69
Space group: Pm-3m
Energy above the most stable polymorph in this dataset in meV per atom: 1516

a b c (Å): 5.432 5.432 5.432
angles (deg): 90.00 90.00 90.00
Atoms (fractional coordinates):
1 Al 0.000 0.000 0.500
2 Al 0.000 0.500 0.000
3 Al 0.500 0.000 0.000
4 Pb 0.000 0.000 0.000
5 O 0.500 0.500 0.500

***

(6)
Compound: Pm2Dy2Cd
Source: the Alexandria database
Functional: PBE
Structure: relaxed

Total DFT energy (no corrections) in eV per atom: -3.88
Calculated formation energy in eV per atom: 0.05
Space group: I4_1/amd
Energy above the most stable polymorph in this dataset in meV per atom: 161

a b c (Å): 12.845 12.845 12.845
angles (deg): 156.76 156.76 33.11
Atoms (fractional coordinates):
1 Pm 0.047 0.297 0.750
2 Pm 0.297 0.047 0.250
3 Pm 0.703 0.953 0.750
4 Pm 0.953 0.703 0.250
5 Dy 0.197 0.447 0.750
6 Dy 0.447 0.197 0.250
7 Dy 0.553 0.803 0.750
8 Dy 0.803 0.553 0.250
9 Cd 0.125 0.875 0.250
10 Cd 0.875 0.125 0.750

***

(7)
Compound: AcDy12Ho7
Source: the Alexandria database
Functional: PBE
Structure: relaxed

Total DFT energy (no corrections) in eV per atom: -4.33
Calculated formation energy in eV per atom: 0.24
Space group: R-3
Energy above the most stable polymorph in this dataset in meV per atom: 0

a b c (Å): 8.704 8.704 8.704
angles (deg): 87.39 87.39 87.39
Atoms (fractional coordinates):
1 Ac 0.000 0.000 0.000
2 Dy 0.135 0.495 0.622
3 Dy 0.149 0.726 0.277
4 Dy 0.274 0.723 0.851
5 Dy 0.277 0.149 0.726
6 Dy 0.378 0.865 0.505
7 Dy 0.495 0.622 0.135
8 Dy 0.505 0.378 0.865
9 Dy 0.622 0.135 0.495
10 Dy 0.723 0.851 0.274
11 Dy 0.726 0.277 0.149
12 Dy 0.851 0.274 0.723
13 Dy 0.865 0.505 0.378
14 Ho 0.063 0.155 0.393
15 Ho 0.155 0.393 0.063
16 Ho 0.393 0.063 0.155
17 Ho 0.500 0.500 0.500
18 Ho 0.607 0.937 0.845
19 Ho 0.845 0.607 0.937
20 Ho 0.937 0.845 0.607

***

(8)
Compound: HfBOs2S
Source: the Alexandria database
Functional: PBE
Structure: relaxed

E_form (uncorrected) in eV/atom: 0.30
Total DFT energy (no corrections) in eV per atom: -8.35
Space group: P4/mmm

a b c (Å): 4.023 4.023 4.738
angles (deg): 90.00 90.00 90.00
Atoms (fractional coordinates):
1 Hf 0.000 0.000 0.000
2 B 0.000 0.000 0.500
3 Os 0.000 0.500 0.500
4 Os 0.500 0.000 0.500
5 S 0.500 0.500 0.000

***

(9)
Compound: CaNd2Cd6
Source: the Alexandria database
Functional: PBE
Structure: relaxed

Total DFT energy (no corrections) in eV per atom: -2.23
Calculated formation energy in eV per atom: -0.34
Space group: P6/mmm

a b c (Å): 8.772 8.772 3.517
angles (deg): 90.00 90.00 120.00
Atoms (fractional coordinates):
1 Ca 0.000 0.000 0.000
2 Nd 0.333 0.667 0.000
3 Nd 0.667 0.333 0.000
4 Cd 0.000 0.332 0.500
5 Cd 0.000 0.668 0.500
6 Cd 0.332 0.000 0.500
7 Cd 0.332 0.332 0.500
8 Cd 0.668 0.000 0.500
9 Cd 0.668 0.668 0.500

***

(10)
Compound: LiReSi2
Source: the Alexandria database
Functional: PBE
Structure: relaxed

E_form (uncorrected) in eV/atom: -0.08
Total DFT energy (no corrections) in eV per atom: -6.38
Space group: I4/mmm
Energy above the most stable polymorph in this dataset in meV per atom: 71

a b c (Å): 3.891 3.891 6.875
angles (deg): 90.00 90.00 90.00
Atoms (fractional coordinates):
1 Li 0.000 0.000 0.000
2 Li 0.500 0.500 0.500
3 Re 0.000 0.000 0.500
4 Re 0.500 0.500 0.000
5 Si 0.000 0.500 0.250
6 Si 0.000 0.500 0.750
7 Si 0.500 0.000 0.250
8 Si 0.500 0.000 0.750

***

(11)
Compound: TlZnBi2H
Source: the Alexandria database
Functional: PBE
Structure: relaxed

Total DFT energy (no corrections) in eV per atom: -1.81
Space group: P4/mmm
Energy above the most stable polymorph in this dataset in meV per atom: 966

a b c (Å): 5.985 5.985 5.076
angles (deg): 90.00 90.00 90.00
Atoms (fractional coordinates):
1 Tl 0.000 0.000 0.000
2 Zn 0.000 0.000 0.500
3 Bi 0.000 0.500 0.000
4 Bi 0.500 0.000 0.000
5 H 0.500 0.500 0.500

***

(12)
Compound: RbAcBiAu
Source: the Alexandria database
Functional: PBE
Structure: relaxed

Total DFT energy (no corrections) in eV per atom: -3.59
Calculated formation energy in eV per atom: -0.53
Space group: F-43m

a b c (Å): 8.214 8.214 8.214
angles (deg): 90.00 90.00 90.00
Atoms (fractional coordinates):
1 Rb 0.000 0.000 0.000
2 Rb 0.000 0.500 0.500
3 Rb 0.500 0.000 0.500
4 Rb 0.500 0.500 0.000
5 Ac 0.000 0.000 0.500
6 Ac 0.000 0.500 0.000
7 Ac 0.500 0.000 0.000
8 Ac 0.500 0.500 0.500
9 Bi 0.250 0.250 0.750
10 Bi 0.250 0.750 0.250
11 Bi 0.750 0.250 0.250
12 Bi 0.750 0.750 0.750
13 Au 0.250 0.250 0.250
14 Au 0.250 0.750 0.750
15 Au 0.750 0.250 0.750
16 Au 0.750 0.750 0.250

***

Question: The highest total DFT energy (no corrections) belongs to which entry?
Answer: TlZnBi2H